[1]
The following is a PBE-GGA calculation of a relaxed LiPu3Pt4 crystal, from Alexandria via LeMat-Bulk.

The structure in extended XYZ format:
```
8
Lattice="2.872 0.000 0.000 0.000 7.650 0.000 -1.436 -3.825 7.436" Properties=species:S:1:pos:R:3 pbc="T T T"
Li 1.436 0.000 0.000
Pu 0.000 0.000 3.599
Pu 1.436 3.825 3.837
Pu 0.000 3.825 0.000
Pt 0.000 1.950 5.665
Pt 1.436 1.875 1.771
Pt 1.436 5.775 1.771
Pt 0.000 -1.950 5.665
```

Computed properties:
DFT formation energy	-0.548	eV/atom
relative energy among the computed polymorphs	101	kJ/mol of formula units
electronic total energy	-73.46	eV per cell
DOS at the Fermi energy	23.1	states/eV/f.u.

[2]
The following is a PBE-GGA calculation of a relaxed Li4Pu3Pt4 crystal, from Alexandria via LeMat-Bulk.

The structure in extended XYZ format:
```
11
Lattice="6.422 0.000 0.000 -2.141 6.055 0.000 -2.141 -3.027 5.244" Properties=species:S:1:pos:R:3 pbc="T T T"
Li -0.511 1.444 0.000
Li -0.511 -0.722 1.250
Li 1.532 0.000 0.000
Li 1.630 2.305 3.993
Pu 2.141 3.027 0.000
Pu 2.141 -1.514 2.622
Pu -2.141 1.514 2.622
Pt -1.287 3.641 0.000
Pt 3.862 0.000 0.000
Pt -1.287 -1.821 3.154
Pt 0.853 1.207 2.090
```

Computed properties:
DFT formation energy	-0.398	eV/atom
electronic total energy	-79.20	eV per cell
DOS at the Fermi energy	34.5	states/eV/f.u.

[3]
The following is a PBE-GGA calculation of a relaxed Li2Pu5Pt4 crystal, from Alexandria via LeMat-Bulk.

The structure in extended XYZ format:
```
11
Lattice="4.415 0.000 0.000 0.000 5.874 1.958 -2.207 -0.420 9.575" Properties=species:S:1:pos:R:3 pbc="T T T"
Li 2.207 3.260 3.937
Li 0.000 2.194 7.596
Pu 0.000 4.990 5.788
Pu 2.207 0.464 5.745
Pu 0.000 1.595 2.010
Pu 2.207 0.000 0.000
Pu 2.207 3.859 9.523
Pt 2.207 3.346 6.651
Pt 0.000 4.357 2.946
Pt 0.000 2.108 4.882
Pt 2.207 1.097 8.587
```

Computed properties:
DFT formation energy	-0.359	eV/atom
electronic total energy	-103.60	eV per cell
DOS at the Fermi energy	47.3	states/eV/f.u.

[4]
The following is a PBE-GGA calculation of a relaxed LiPuPt4 crystal, from Alexandria via LeMat-Bulk.

The structure in extended XYZ format:
```
6
Lattice="5.362 0.000 0.000 2.681 4.644 0.000 2.681 1.548 4.378" Properties=species:S:1:pos:R:3 pbc="T T T"
Li 0.000 0.000 0.000
Pt 5.362 3.096 0.542
Pt 5.362 1.543 2.738
Pt 6.707 3.872 2.738
Pt 4.018 3.872 2.738
Pu 2.681 1.548 1.095
```

Computed properties:
DFT formation energy	-0.694	eV/atom
electronic total energy	-44.58	eV per cell
DOS at the Fermi energy	15.6	states/eV/f.u.

[5]
The following is a PBE-GGA calculation of a relaxed Li2PuPt2 crystal, from Alexandria via LeMat-Bulk.

The structure in extended XYZ format:
```
10
Lattice="2.816 0.000 0.000 0.000 7.612 0.000 0.000 0.000 7.612" Properties=species:S:1:pos:R:3 pbc="T T T"
Li 0.000 2.970 6.776
Li 0.000 6.776 4.642
Li 0.000 4.642 0.836
Li 0.000 0.836 2.970
Pu 0.000 0.000 0.000
Pu 0.000 3.806 3.806
Pt 1.408 1.410 5.216
Pt 1.408 5.216 6.202
Pt 1.408 6.202 2.396
Pt 1.408 2.396 1.410
```

Computed properties:
DFT formation energy	-0.607	eV/atom
relative energy among the computed polymorphs	0	kJ/mol of formula units
electronic total energy	-66.56	eV per cell
DOS at the Fermi energy	8.8	states/eV/f.u.

[6]
The following is a PBE-GGA calculation of a relaxed LiPu3Pt2 crystal, from Alexandria via LeMat-Bulk.

The structure in extended XYZ format:
```
12
Lattice="-4.678 -0.685 -0.417 1.104 -3.352 -6.879 2.434 -4.359 6.860" Properties=species:S:1:pos:R:3 pbc="T T T"
Li 0.552 -1.676 -3.439
Li 0.000 0.000 0.000
Pu -2.063 -1.180 -1.928
Pu -1.511 -2.856 -5.368
Pu -2.206 -3.539 3.543
Pu 0.514 -3.180 -0.540
Pu 1.065 -4.856 -3.980
Pu -1.654 -5.216 0.104
Pt 0.457 -4.508 2.270
Pt -2.149 -2.211 0.733
Pt 1.009 -6.185 -1.169
Pt -1.598 -3.887 -2.707
```

Computed properties:
DFT formation energy	-0.443	eV/atom
relative energy among the computed polymorphs	3	kJ/mol of formula units
electronic total energy	-119.30	eV per cell
DOS at the Fermi energy	23.2	states/eV/f.u.

[7]
The following is a PBE-GGA calculation of a relaxed Li2Pu2Pt3 crystal, from Alexandria via LeMat-Bulk.

The structure in extended XYZ format:
```
7
Lattice="4.438 -0.004 0.000 -2.214 6.368 1.127 0.002 0.537 5.127" Properties=species:S:1:pos:R:3 pbc="T T T"
Li 2.220 1.899 4.988
Li 0.005 5.002 1.266
Pu 2.225 5.038 3.858
Pu 0.001 1.863 2.397
Pt 0.000 0.000 0.000
Pt 2.222 3.489 1.495
Pt 0.004 3.412 4.759
```

Computed properties:
DFT formation energy	-0.551	eV/atom
relative energy among the computed polymorphs	52	kJ/mol of formula units
electronic total energy	-54.47	eV per cell
DOS at the Fermi energy	20.0	states/eV/f.u.

[8]
The following is a PBE-GGA calculation of a relaxed LiPu3Pt8 crystal, from Alexandria via LeMat-Bulk.

The structure in extended XYZ format:
```
12
Lattice="-0.050 3.005 4.505 -4.431 0.144 3.109 1.526 -5.832 7.162" Properties=species:S:1:pos:R:3 pbc="T T T"
Li -3.316 0.492 9.399
Pu -0.360 -3.889 9.099
Pu -4.447 3.070 7.666
Pu -1.509 -1.270 7.340
Pt -1.695 1.784 6.932
Pt -3.134 -2.543 9.799
Pt -1.670 0.277 4.674
Pt -3.159 -1.041 12.050
Pt -0.178 -1.949 4.553
Pt -1.652 -3.300 11.947
Pt -3.892 0.350 6.233
Pt -0.945 -1.113 10.496
```

Computed properties:
DFT formation energy	-0.773	eV/atom
electronic total energy	-102.52	eV per cell
DOS at the Fermi energy	36.3	states/eV/f.u.

[9]
The following is a PBE-GGA calculation of a relaxed LiPu3Pt2 crystal, from Alexandria via LeMat-Bulk.

The structure in extended XYZ format:
```
6
Lattice="4.440 0.000 -1.405 0.000 3.813 0.000 -0.111 0.000 7.369" Properties=species:S:1:pos:R:3 pbc="T T T"
Li 0.000 0.000 0.000
Pu 1.336 0.000 4.225
Pu 2.993 0.000 1.740
Pu 2.220 1.907 -0.702
Pt 0.595 1.907 1.882
Pt 3.734 1.907 4.082
```

Computed properties:
DFT formation energy	-0.448	eV/atom
relative energy among the computed polymorphs	0	kJ/mol of formula units
electronic total energy	-59.68	eV per cell
DOS at the Fermi energy	19.0	states/eV/f.u.

[10]
The following is a PBE-GGA calculation of a relaxed LiPu4Pt4 crystal, from Alexandria via LeMat-Bulk.

The structure in extended XYZ format:
```
9
Lattice="4.745 0.000 0.000 2.372 5.731 0.000 2.372 0.000 5.731" Properties=species:S:1:pos:R:3 pbc="T T T"
Li 0.000 0.000 0.000
Pu 4.745 4.051 0.000
Pu 4.745 1.681 5.731
Pu 7.117 5.731 4.051
Pu 2.372 0.000 1.681
Pt 4.745 1.904 1.905
Pt 4.745 3.827 3.827
Pt 2.372 3.827 1.904
Pt 7.117 1.905 3.827
```

Computed properties:
DFT formation energy	-0.253	eV/atom
electronic total energy	-85.68	eV per cell
DOS at the Fermi energy	14.0	states/eV/f.u.

[11]
The following is a PBE-GGA calculation of a relaxed LiPu3Pt4 crystal, from Alexandria via LeMat-Bulk.

The structure in extended XYZ format:
```
8
Lattice="-1.792 2.748 1.429 -3.907 -1.465 -2.084 -2.071 -5.310 7.616" Properties=species:S:1:pos:R:3 pbc="T T T"
Pu -1.395 0.097 2.546
Pu -3.885 -2.013 3.480
Pu -6.376 -4.123 4.414
Pt -1.036 -2.655 3.808
Pt -3.581 -4.904 4.942
Pt 0.000 0.000 0.000
Pt -2.397 -1.870 0.590
Li -2.850 0.642 -0.328
```

Computed properties:
DFT formation energy	-0.679	eV/atom
relative energy among the computed polymorphs	0	kJ/mol of formula units
electronic total energy	-74.50	eV per cell
DOS at the Fermi energy	28.3	states/eV/f.u.

[12]
The following is a PBE-GGA calculation of a relaxed Li2Pu5Pt5 crystal, from Alexandria via LeMat-Bulk.

The structure in extended XYZ format:
```
12
Lattice="-4.454 0.570 -0.794 1.684 -5.421 -0.241 -1.454 3.312 10.538" Properties=species:S:1:pos:R:3 pbc="T T T"
Li -1.159 1.882 7.856
Li -3.065 -3.421 1.647
Pu -2.954 1.941 4.872
Pu -2.429 -1.405 -0.478
Pu -2.776 -0.279 2.279
Pu -1.448 -1.261 7.224
Pu -1.795 -0.134 9.981
Pt -0.836 -0.249 4.512
Pt -3.572 0.773 7.504
Pt -0.652 -2.312 1.999
Pt -3.389 -1.290 4.991
Pt 0.000 0.000 0.000
```

Computed properties:
DFT formation energy	-0.548	eV/atom
electronic total energy	-112.27	eV per cell
DOS at the Fermi energy	44.7	states/eV/f.u.